[1]
Material: Cs2Ca2Ga
Method: DFT, PBE
State: optimized geometry

```
data_Cs2Ca2Ga
_cell_length_a 8.311
_cell_length_b 8.311
_cell_length_c 7.498
_cell_angle_alpha 90.00
_cell_angle_beta 90.00
_cell_angle_gamma 90.00
_symmetry_space_group_name_H-M 'P 4/m b m'
_symmetry_Int_Tables_number 127
_symmetry_space_group_name_Hall '-P 4 2ab'
loop_
_atom_site_label
_atom_site_fract_x
_atom_site_fract_y
_atom_site_fract_z
Cs1 0.187 0.313 0.000
Ca1 0.174 0.674 0.500
Ga1 0.000 0.000 0.500
```

Computed properties:
energy of formation = 0.121 eV per atom
uncorrected energy = -16.3 eV for the cell shown

=====

[2]
Material: MnAl2IrBr
Method: DFT, PBE
State: optimized geometry

```
data_MnAl2IrBr
_cell_length_a 4.794
_cell_length_b 4.794
_cell_length_c 5.079
_cell_angle_alpha 90.00
_cell_angle_beta 90.00
_cell_angle_gamma 90.00
_symmetry_space_group_name_H-M 'P 4/m m m'
_symmetry_Int_Tables_number 123
_symmetry_space_group_name_Hall '-P 4 2'
loop_
_atom_site_label
_atom_site_fract_x
_atom_site_fract_y
_atom_site_fract_z
Mn1 0.000 0.000 0.000
Al1 0.000 0.500 0.500
Ir1 0.000 0.000 0.500
Br1 0.500 0.500 0.000
```

Computed properties:
uncorrected energy = -27.3 eV for the cell shown
raw formation energy = -0.03 eV per atom

=====

[3]
Material: LuPaCuAu
Method: DFT, PBE
State: optimized geometry

```
data_LuPaCuAu
_cell_length_a 7.033
_cell_length_b 7.033
_cell_length_c 7.033
_cell_angle_alpha 90.00
_cell_angle_beta 90.00
_cell_angle_gamma 90.00
_symmetry_space_group_name_H-M 'F -4 3 m'
_symmetry_Int_Tables_number 216
_symmetry_space_group_name_Hall 'F -4 2 3'
loop_
_atom_site_label
_atom_site_fract_x
_atom_site_fract_y
_atom_site_fract_z
Lu1 0.000 0.000 0.000
Pa1 0.000 0.000 0.500
Cu1 0.250 0.250 0.250
Au1 0.250 0.250 0.750
```

Computed properties:
energy of formation = -0.214 eV per atom
uncorrected energy = -89.0 eV for the cell shown

=====

[4]
Material: Zr2In2F
Method: DFT, PBE
State: optimized geometry

```
data_Zr2In2F
_cell_length_a 6.283
_cell_length_b 6.283
_cell_length_c 5.213
_cell_angle_alpha 90.00
_cell_angle_beta 90.00
_cell_angle_gamma 90.00
_symmetry_space_group_name_H-M 'P 4/m b m'
_symmetry_Int_Tables_number 127
_symmetry_space_group_name_Hall '-P 4 2ab'
loop_
_atom_site_label
_atom_site_fract_x
_atom_site_fract_y
_atom_site_fract_z
Zr1 0.165 0.335 0.000
In1 0.167 0.667 0.500
F1 0.000 0.000 0.000
```

Computed properties:
uncorrected energy = -57.9 eV for the cell shown
raw formation energy = -0.90 eV per atom
relative energy among the computed polymorphs = 0 meV per atom

=====

[5]
Material: Y2ErTl2
Method: DFT, PBE
State: optimized geometry

```
data_Y2ErTl2
_cell_length_a 8.138
_cell_length_b 8.138
_cell_length_c 4.382
_cell_angle_alpha 90.00
_cell_angle_beta 90.00
_cell_angle_gamma 90.00
_symmetry_space_group_name_H-M 'P 4/m b m'
_symmetry_Int_Tables_number 127
_symmetry_space_group_name_Hall '-P 4 2ab'
loop_
_atom_site_label
_atom_site_fract_x
_atom_site_fract_y
_atom_site_fract_z
Y1 0.172 0.328 0.000
Er1 0.000 0.000 0.500
Tl1 0.131 0.631 0.500
```

Computed properties:
energy of formation = -0.319 eV per atom
uncorrected energy = -47.6 eV for the cell shown

=====

[6]
Material: ZrAlPt6
Method: DFT, PBE
State: optimized geometry

```
data_ZrAlPt6
_cell_length_a 4.003
_cell_length_b 4.003
_cell_length_c 7.919
_cell_angle_alpha 90.00
_cell_angle_beta 90.00
_cell_angle_gamma 90.00
_symmetry_space_group_name_H-M 'P 4/m m m'
_symmetry_Int_Tables_number 123
_symmetry_space_group_name_Hall '-P 4 2'
loop_
_atom_site_label
_atom_site_fract_x
_atom_site_fract_y
_atom_site_fract_z
Zr1 0.000 0.000 0.000
Al1 0.000 0.000 0.500
Pt1 0.000 0.500 0.257
Pt2 0.500 0.500 0.000
Pt3 0.500 0.500 0.500
```

Computed properties:
energy of formation = -0.881 eV per atom
uncorrected energy = -55.6 eV for the cell shown

=====

Among the records above, which one has the highest uncorrected energy?
Cs2Ca2Ga

=====

Which of these has the highest uncorrected energy?
Cs2Ca2Ga

=====

Which of these has the highest uncorrected energy?
Cs2Ca2Ga

=====

Among the records above, which one has the lowest uncorrected energy?
LuPaCuAu